1.
Computed, not measured: a relaxed TeRuAu2 crystal at the GGA-PBE level of DFT.

Summary:
Space group: F-43m
Formation energy without anion corrections, eV/atom: 0.426

Unit cell a=4.7201 b=4.7201 c=4.7201 alpha=60.00 beta=60.00 gamma=60.00
With the nearest neighbours (Å) after each atom.
Element x y z (fractional)
Au 0.0000 0.0000 0.0000  4 Au 2.89, 4 Te 2.89
Au 0.2500 0.2500 0.2500  4 Ru 2.89, 4 Au 2.89
Ru 0.5000 0.5000 0.5000  4 Te 2.89, 4 Au 2.89
Te 0.7500 0.7500 0.7500  4 Au 2.89, 4 Ru 2.89

---

2.
Computed, not measured: a relaxed TeRuAu crystal at the GGA-PBE level of DFT.

Summary:
Space group: P3m1
ΔE to the lowest computed polymorph, meV/atom: 152.0
Formation energy without anion corrections, eV/atom: 0.386

Unit cell a=4.3776 b=4.3776 c=3.5539 alpha=90.00 beta=90.00 gamma=120.00
With the nearest neighbours (Å) after each atom.
Element x y z (fractional)
Au 0.0000 0.0000 0.0001  6 Ru 3.03-3.15, 6 Te 3.03-3.15
Ru 0.6667 0.3333 0.4709  3 Te 2.54
Te 0.3333 0.6667 0.5290  3 Ru 2.54

---

3.
Computed, not measured: a relaxed TeRuAu2 crystal at the GGA-PBE level of DFT.

Summary:
Space group: C2/m
Formation energy without anion corrections, eV/atom: 0.351

Unit cell a=5.8632 b=5.8632 c=3.8376 alpha=71.17 beta=71.17 gamma=124.74
With the nearest neighbours (Å) after each atom.
Element x y z (fractional)
Au 0.0000 0.0000 0.0000  4 Au 2.72-2.76, 2 Ru 2.94, 2 Te 2.94
Au 0.5000 0.5000 0.0000  4 Au 2.72-2.76, 2 Te 2.94, 2 Ru 2.94
Ru 0.5000 0.0000 0.5000  4 Te 2.72-2.76, 4 Au 2.94
Te 0.0000 0.5000 0.5000  4 Ru 2.72-2.76, 4 Au 2.94

---

4.
Computed, not measured: a relaxed Te2RuAu crystal at the GGA-PBE level of DFT.

Summary:
Space group: R-3m
ΔE to the lowest computed polymorph, meV/atom: 0.0
Formation energy without anion corrections, eV/atom: -0.035

Unit cell a=8.3380 b=8.3380 c=8.3380 alpha=27.21 beta=27.21 gamma=27.21
With the nearest neighbours (Å) after each atom.
Element x y z (fractional)
Ru 0.5000 0.5000 0.5000  6 Te 2.66
Te 0.8912 0.8912 0.8912  1 Au 2.62, 3 Ru 2.66
Te 0.1088 0.1088 0.1088  1 Au 2.62, 3 Ru 2.66
Au 0.0000 0.0000 0.0000  2 Te 2.62

---

5.
Computed, not measured: a relaxed TeRuAu2 crystal at the GGA-PBE level of DFT.

Summary:
Space group: P4/mmm
Formation energy without anion corrections, eV/atom: 0.485

Unit cell a=2.9881 b=2.9881 c=9.1145 alpha=90.00 beta=90.00 gamma=90.03
With the nearest neighbours (Å) after each atom.
Element x y z (fractional)
Au 0.0000 0.0000 0.0429  4 Ru 2.83, 4 Au 2.99
Au 0.0000 0.0000 0.4571  4 Ru 2.83, 4 Au 2.99
Ru 0.5000 0.5000 0.2500  8 Au 2.83, 4 Ru 2.99
Te 0.5000 0.5000 0.7500  4 Te 2.99

---

6.
Computed, not measured: a relaxed TeRuAu2 crystal at the GGA-PBE level of DFT.

Summary:
Space group: P2/m
Formation energy without anion corrections, eV/atom: 0.388

Unit cell a=5.2385 b=3.3463 c=4.3970 alpha=88.83 beta=90.00 gamma=90.00
With the nearest neighbours (Å) after each atom.
Element x y z (fractional)
Au 0.0000 0.0035 0.0052  4 Au 2.71-2.84, 2 Ru 2.96, 2 Te 2.98
Au 0.0000 0.4965 0.4948  4 Au 2.71-2.84, 2 Ru 2.96, 2 Te 2.98
Ru 0.5000 0.2500 0.2500  4 Te 2.74-2.79, 4 Au 2.96
Te 0.5000 0.7500 0.7500  4 Ru 2.74-2.79, 4 Au 2.98

---

7.
Computed, not measured: a relaxed TeRuAu2 crystal at the GGA-PBE level of DFT.

Summary:
Space group: C2/m
Formation energy without anion corrections, eV/atom: 0.360

Unit cell a=6.0040 b=6.0040 c=4.3428 alpha=81.98 beta=81.98 gamma=30.35
With the nearest neighbours (Å) after each atom.
Element x y z (fractional)
Au 0.0411 0.0411 0.9820  6 Au 2.83-3.14, 1 Te 2.83, 2 Ru 2.94
Au 0.4589 0.4589 0.5180  6 Au 2.83-3.14, 1 Te 2.83, 2 Ru 2.94
Ru 0.7500 0.7500 0.7500  4 Te 2.68, 4 Au 2.94
Te 0.2500 0.2500 0.2500  4 Ru 2.68, 2 Au 2.83

---

8.
Computed, not measured: a relaxed TeRuAu2 crystal at the GGA-PBE level of DFT.

Summary:
Space group: I-42d
Formation energy without anion corrections, eV/atom: 0.457

Unit cell a=7.7627 b=7.7627 c=6.1049 alpha=50.52 beta=50.52 gamma=90.00
With the nearest neighbours (Å) after each atom.
Element x y z (fractional)
Ru 0.5000 0.5000 0.0000  2 Te 2.67, 4 Au 2.77
Ru 0.2500 0.7500 0.5000  2 Te 2.67, 4 Au 2.77
Te 0.0000 0.0000 0.0000  2 Ru 2.67, 4 Au 2.88
Te 0.7500 0.2500 0.5000  2 Ru 2.67, 4 Au 2.88
Au 0.6151 0.1250 0.2500  2 Au 2.68, 2 Ru 2.77, 2 Te 2.88
Au 0.1349 0.6250 0.2500  2 Au 2.68, 2 Ru 2.77, 2 Te 2.88
Au 0.3750 0.3849 0.7500  2 Au 2.68, 2 Ru 2.77, 2 Te 2.88
Au 0.8750 0.8651 0.7500  2 Au 2.68, 2 Ru 2.77, 2 Te 2.88

---

9.
Computed, not measured: a relaxed TeRu2Au crystal at the GGA-PBE level of DFT.

Summary:
Space group: P4/mmm
Formation energy without anion corrections, eV/atom: 0.428

Unit cell a=3.4927 b=4.3798 c=4.3798 alpha=90.00 beta=90.00 gamma=90.00
With the nearest neighbours (Å) after each atom.
Element x y z (fractional)
Au 0.5000 0.0000 0.5000  8 Ru 2.80, 4 Te 3.10
Ru 0.0000 0.0000 0.0000  4 Te 2.80, 4 Au 2.80, 4 Ru 3.10
Ru 0.0000 0.5000 0.5000  4 Au 2.80, 4 Te 2.80, 4 Ru 3.10
Te 0.5000 0.5000 0.0000  8 Ru 2.80, 4 Au 3.10

---

10.
Computed, not measured: a relaxed TeRu2Au crystal at the GGA-PBE level of DFT.

Summary:
Space group: R3m
Formation energy without anion corrections, eV/atom: 0.460

Unit cell a=9.8479 b=9.8479 c=9.8479 alpha=17.25 beta=17.25 gamma=17.25
With the nearest neighbours (Å) after each atom.
Element x y z (fractional)
Au 0.7387 0.7387 0.7387  3 Ru 2.90, 6 Au 2.95
Ru 0.9915 0.9915 0.9915  3 Ru 2.59, 3 Au 2.90
Ru 0.2576 0.2576 0.2576  3 Ru 2.59, 3 Te 2.85
Te 0.5123 0.5123 0.5123  3 Ru 2.85, 6 Te 2.95

---

11.
Computed, not measured: a relaxed Te2RuAu crystal at the GGA-PBE level of DFT.

Summary:
Space group: Fm-3m
ΔE to the lowest computed polymorph, meV/atom: 403.9
Formation energy without anion corrections, eV/atom: 0.369

Unit cell a=4.8744 b=4.8744 c=4.8744 alpha=60.00 beta=60.00 gamma=60.00
With the nearest neighbours (Å) after each atom.
Element x y z (fractional)
Ru 0.0000 0.0000 0.0000  8 Te 2.98
Te 0.2500 0.2500 0.2500  4 Au 2.98, 4 Ru 2.98
Te 0.7500 0.7500 0.7500  4 Ru 2.98, 4 Au 2.98
Au 0.5000 0.5000 0.5000  8 Te 2.98

---

12.
Computed, not measured: a relaxed TeRu2Au2 crystal at the GGA-PBE level of DFT.

Summary:
Space group: P4/mbm
ΔE to the lowest computed polymorph, meV/atom: 4.4
Formation energy without anion corrections, eV/atom: 0.642

Unit cell a=8.1023 b=8.1023 c=2.9053 alpha=90.00 beta=90.00 gamma=90.00
With the nearest neighbours (Å) after each atom.
Element x y z (fractional)
Ru 0.1061 0.6061 0.5000  1 Ru 2.43
Ru 0.6061 0.8939 0.5000  1 Ru 2.43
Ru 0.8939 0.3939 0.5000  1 Ru 2.43
Ru 0.3939 0.1061 0.5000  1 Ru 2.43
Te 0.0000 0.0000 0.0000  2 Te 2.91, 4 Au 2.96
Te 0.5000 0.5000 0.0000  2 Te 2.91, 4 Au 2.96
Au 0.3138 0.8138 0.0000  6 Ru 2.79-2.85, 2 Au 2.91, 2 Te 2.96
Au 0.8138 0.6862 0.0000  6 Ru 2.79-2.85, 2 Au 2.91, 2 Te 2.96
Au 0.6862 0.1862 0.0000  6 Ru 2.79-2.85, 2 Au 2.91, 2 Te 2.96
Au 0.1862 0.3138 0.0000  6 Ru 2.79-2.85, 2 Au 2.91, 2 Te 2.96